P:
Compound: Al3SbSe
Source: the Alexandria database
Functional: PBE-GGA
Structure: relaxed

Properties
calculated density = 3721 kg/m³
space-group type = Pm-3m
N(E_F) = 2.77 states/eV per cell

Cell lengths 5.0091, 5.0091, 5.0091 Å; angles 90.00, 90.00, 90.00 degrees
Fractional positions:
1 Al 0.0000 0.0000 0.5000
2 Al 0.0000 0.5000 0.0000
3 Al 0.5000 0.0000 0.0000
4 Sb 0.5000 0.5000 0.5000
5 Se 0.0000 0.0000 0.0000

Q:
Compound: Al3SbSe
Source: the Alexandria database
Functional: PBE-GGA
Structure: relaxed

Properties
calculated density = 3046 kg/m³
space-group type = Pm-3m
N(E_F) = 2.46 states/eV per cell

Cell lengths 5.3551, 5.3551, 5.3551 Å; angles 90.00, 90.00, 90.00 degrees
Fractional positions:
1 Al 0.0000 0.0000 0.5000
2 Al 0.0000 0.5000 0.0000
3 Al 0.5000 0.0000 0.0000
4 Sb 0.0000 0.0000 0.0000
5 Se 0.5000 0.5000 0.5000

Which of them is the least stable? Correct choice: Q.

P:
Compound: AlSbTe2Se
Source: the Alexandria database
Functional: PBE-GGA
Structure: relaxed

Properties
calculated density = 5465 kg/m³
space-group type = P4/mmm
N(E_F) = 5.61 states/eV per cell

Cell lengths 5.2243, 5.2243, 5.3758 Å; angles 90.00, 90.00, 90.00 degrees
Fractional positions:
1 Al 0.0000 0.0000 0.0000
2 Sb 0.0000 0.0000 0.5000
3 Te 0.0000 0.5000 0.0000
4 Te 0.5000 0.0000 0.0000
5 Se 0.5000 0.5000 0.5000

Q:
Compound: AlSbTe2Se
Source: the Alexandria database
Functional: PBE-GGA
Structure: relaxed

Properties
calculated density = 4860 kg/m³
space-group type = P4/mmm
N(E_F) = 5.05 states/eV per cell

Cell lengths 5.5002, 5.5002, 5.4541 Å; angles 90.00, 90.00, 90.00 degrees
Fractional positions:
1 Al 0.0000 0.0000 0.0000
2 Sb 0.5000 0.5000 0.0000
3 Te 0.0000 0.5000 0.5000
4 Te 0.5000 0.0000 0.5000
5 Se 0.5000 0.5000 0.5000

Which of them is the least stable? Correct choice: Q.

P:
Compound: AlSi2Sb
Source: the Alexandria database
Functional: PBE-GGA
Structure: relaxed

Properties
calculated density = 4515 kg/m³
space-group type = Immm
N(E_F) = 1.32 states/eV per cell

Cell lengths 5.3363, 5.3363, 5.3363 Å; angles 140.68, 127.31, 67.68 degrees
Fractional positions:
1 Al 0.0000 0.0000 0.0000
2 Si 0.2350 0.7350 0.5000
3 Si 0.7650 0.2650 0.5000
4 Sb 0.5000 0.5000 0.0000

Q:
Compound: AlSi2Sb
Source: the Alexandria database
Functional: PBE-GGA
Structure: relaxed

Properties
calculated density = 3313 kg/m³
space-group type = I-42d
N(E_F) = 0.00 states/eV per cell

Cell lengths 7.2371, 7.2371, 7.2371 Å; angles 131.96, 131.96, 70.29 degrees
Fractional positions:
1 Al 0.0000 0.0000 0.0000
2 Al 0.7500 0.2500 0.5000
3 Si 0.1028 0.6250 0.9778
4 Si 0.3750 0.3528 0.4778
5 Si 0.6472 0.1250 0.0222
6 Si 0.8750 0.8972 0.5222
7 Sb 0.2500 0.7500 0.5000
8 Sb 0.5000 0.5000 0.0000

R:
Compound: AlSi2Sb
Source: the Alexandria database
Functional: PBE-GGA
Structure: relaxed

Properties
calculated density = 4430 kg/m³
space-group type = R-3m
N(E_F) = 1.35 states/eV per cell

Cell lengths 8.8706, 8.8706, 8.8706 Å; angles 20.76, 20.76, 20.76 degrees
Fractional positions:
1 Al 0.0000 0.0000 0.0000
2 Si 0.2608 0.2608 0.2608
3 Si 0.7392 0.7392 0.7392
4 Sb 0.5000 0.5000 0.5000

S:
Compound: AlSi2Sb
Source: the Alexandria database
Functional: PBE-GGA
Structure: relaxed

Properties
calculated density = 4486 kg/m³
space-group type = P4/mmm
N(E_F) = 2.31 states/eV per cell

Cell lengths 4.5859, 4.5859, 3.6067 Å; angles 90.00, 90.00, 90.00 degrees
Fractional positions:
1 Al 0.0000 0.0000 0.0000
2 Si 0.0000 0.5000 0.5000
3 Si 0.5000 0.0000 0.5000
4 Sb 0.5000 0.5000 0.0000

Which of them is the least stable? Correct choice: S.

P:
Compound: AlSi2Sb
Source: the Alexandria database
Functional: PBE-GGA
Structure: relaxed

Properties
calculated density = 4498 kg/m³
space-group type = Cmm2
N(E_F) = 1.48 states/eV per cell

Cell lengths 3.1479, 3.1479, 7.7571 Å; angles 90.00, 90.00, 100.21 degrees
Fractional positions:
1 Al 0.0000 0.0000 0.0000
2 Si 0.0000 0.0000 0.3988
3 Si 0.5000 0.5000 0.2171
4 Sb 0.5000 0.5000 0.7016

Q:
Compound: AlSi2Sb
Source: the Alexandria database
Functional: PBE-GGA
Structure: relaxed

Properties
calculated density = 4380 kg/m³
space-group type = Cmmm
N(E_F) = 1.55 states/eV per cell

Cell lengths 3.9679, 3.9679, 4.9531 Å; angles 90.00, 90.00, 95.01 degrees
Fractional positions:
1 Al 0.0000 0.0000 0.0000
2 Si 0.2127 0.7873 0.5000
3 Si 0.7873 0.2127 0.5000
4 Sb 0.5000 0.5000 0.0000

R:
Compound: AlSi2Sb
Source: the Alexandria database
Functional: PBE-GGA
Structure: relaxed

Properties
calculated density = 4200 kg/m³
space-group type = C2/m
N(E_F) = 2.02 states/eV per cell

Cell lengths 3.9229, 3.9229, 6.5648 Å; angles 107.13, 107.13, 58.43 degrees
Fractional positions:
1 Al 0.0000 0.0000 0.0000
2 Si 0.2592 0.2592 0.7779
3 Si 0.7408 0.7408 0.2221
4 Sb 0.5000 0.5000 0.5000

S:
Compound: AlSi2Sb
Source: the Alexandria database
Functional: PBE-GGA
Structure: relaxed

Properties
calculated density = 4496 kg/m³
space-group type = Cmmm
N(E_F) = 1.31 states/eV per cell

Cell lengths 2.9960, 2.9960, 8.4322 Å; angles 90.00, 90.00, 90.90 degrees
Fractional positions:
1 Al 0.0000 0.0000 0.0000
2 Si 0.5000 0.5000 0.2076
3 Si 0.5000 0.5000 0.7924
4 Sb 0.0000 0.0000 0.5000

Which of them is the least stable? Correct choice: S.

P:
Compound: Al3SiSb
Source: the Alexandria database
Functional: PBE-GGA
Structure: relaxed

Properties
calculated density = 3400 kg/m³
space-group type = Pm-3m
N(E_F) = 1.24 states/eV per cell

Cell lengths 4.8303, 4.8303, 4.8303 Å; angles 90.00, 90.00, 90.00 degrees
Fractional positions:
1 Al 0.0000 0.0000 0.5000
2 Al 0.0000 0.5000 0.0000
3 Al 0.5000 0.0000 0.0000
4 Si 0.0000 0.0000 0.0000
5 Sb 0.5000 0.5000 0.5000

Q:
Compound: Al3SiSb
Source: the Alexandria database
Functional: PBE-GGA
Structure: relaxed

Properties
calculated density = 2704 kg/m³
space-group type = Pm-3m
N(E_F) = 4.12 states/eV per cell

Cell lengths 5.2135, 5.2135, 5.2135 Å; angles 90.00, 90.00, 90.00 degrees
Fractional positions:
1 Al 0.0000 0.0000 0.5000
2 Al 0.0000 0.5000 0.0000
3 Al 0.5000 0.0000 0.0000
4 Si 0.5000 0.5000 0.5000
5 Sb 0.0000 0.0000 0.0000

Which of them is the least stable? Correct choice: Q.

P:
Compound: AlSiSb3
Source: the Alexandria database
Functional: PBE-GGA
Structure: relaxed

Properties
calculated density = 4878 kg/m³
space-group type = Pm-3m
N(E_F) = 3.75 states/eV per cell

Cell lengths 5.2303, 5.2303, 5.2303 Å; angles 90.00, 90.00, 90.00 degrees
Fractional positions:
1 Al 0.0000 0.0000 0.0000
2 Si 0.5000 0.5000 0.5000
3 Sb 0.0000 0.5000 0.5000
4 Sb 0.5000 0.0000 0.5000
5 Sb 0.5000 0.5000 0.0000

Q:
Compound: AlSiSb3
Source: the Alexandria database
Functional: PBE-GGA
Structure: relaxed

Properties
calculated density = 4857 kg/m³
space-group type = Pm-3m
N(E_F) = 4.16 states/eV per cell

Cell lengths 5.2379, 5.2379, 5.2379 Å; angles 90.00, 90.00, 90.00 degrees
Fractional positions:
1 Al 0.0000 0.0000 0.0000
2 Si 0.5000 0.5000 0.5000
3 Sb 0.0000 0.0000 0.5000
4 Sb 0.0000 0.5000 0.0000
5 Sb 0.5000 0.0000 0.0000

Which of them is the least stable? Correct choice: Q.

P:
Compound: AlSiSbTe2
Source: the Alexandria database
Functional: PBE-GGA
Structure: relaxed

Properties
calculated density = 4901 kg/m³
space-group type = P4/mmm
N(E_F) = 4.55 states/eV per cell

Cell lengths 5.2810, 5.2810, 5.2486 Å; angles 90.00, 90.00, 90.00 degrees
Fractional positions:
1 Al 0.0000 0.0000 0.0000
2 Si 0.5000 0.5000 0.5000
3 Sb 0.0000 0.0000 0.5000
4 Te 0.0000 0.5000 0.0000
5 Te 0.5000 0.0000 0.0000

Q:
Compound: AlSiSbTe2
Source: the Alexandria database
Functional: PBE-GGA
Structure: relaxed

Properties
calculated density = 4878 kg/m³
space-group type = P4/mmm
N(E_F) = 3.85 states/eV per cell

Cell lengths 5.2900, 5.2900, 5.2559 Å; angles 90.00, 90.00, 90.00 degrees
Fractional positions:
1 Al 0.0000 0.0000 0.0000
2 Si 0.5000 0.5000 0.5000
3 Sb 0.5000 0.5000 0.0000
4 Te 0.0000 0.5000 0.5000
5 Te 0.5000 0.0000 0.5000

Which of them is the least stable? Correct choice: P.

P:
Compound: AlSnSb
Source: the Alexandria database
Functional: PBE-GGA
Structure: relaxed

Properties
calculated density = 5885 kg/m³
space-group type = Pm
N(E_F) = 2.33 states/eV per cell

Cell lengths 4.4252, 5.0677, 6.8296 Å; angles 90.00, 99.78, 90.00 degrees
Fractional positions:
1 Al 0.0000 0.0000 0.0000
2 Al 0.2890 0.5000 0.1401
3 Sn 0.3250 0.0000 0.6667
4 Sn 0.7121 0.5000 0.8542
5 Sb 0.5843 0.0000 0.2746
6 Sb 0.9830 0.5000 0.4729

Q:
Compound: AlSnSb
Source: the Alexandria database
Functional: PBE-GGA
Structure: relaxed

Properties
calculated density = 5992 kg/m³
space-group type = P3m1
N(E_F) = 1.38 states/eV per cell

Cell lengths 5.2173, 5.2173, 3.1440 Å; angles 90.00, 90.00, 120.00 degrees
Fractional positions:
1 Al 0.0000 0.0000 0.0000
2 Sn 0.3333 0.6667 0.4915
3 Sb 0.6667 0.3333 0.0009

Which of them is the least stable? Correct choice: Q.

P:
Compound: AlSnSb
Source: the Alexandria database
Functional: PBE-GGA
Structure: relaxed

Properties
calculated density = 5511 kg/m³
space-group type = Cm
N(E_F) = 1.08 states/eV per cell

Cell lengths 6.4676, 6.4676, 4.4572 Å; angles 109.25, 109.25, 96.21 degrees
Fractional positions:
1 Al 0.1353 0.8647 0.0000
2 Al 0.8647 0.1353 0.0000
3 Sn 0.3988 0.3988 0.5220
4 Sn 0.7208 0.7208 0.2449
5 Sb 0.4135 0.9115 0.6536
6 Sb 0.9115 0.4135 0.6536

Q:
Compound: AlSnSb
Source: the Alexandria database
Functional: PBE-GGA
Structure: relaxed

Properties
calculated density = 5577 kg/m³
space-group type = C2/m
N(E_F) = 1.98 states/eV per cell

Cell lengths 5.8061, 5.8061, 7.0404 Å; angles 96.50, 96.50, 42.54 degrees
Fractional positions:
1 Al 0.1604 0.1604 0.0570
2 Al 0.8396 0.8396 0.9430
3 Sn 0.1462 0.1462 0.4530
4 Sn 0.8538 0.8538 0.5470
5 Sb 0.4229 0.4229 0.1864
6 Sb 0.5771 0.5771 0.8136

R:
Compound: AlSnSb
Source: the Alexandria database
Functional: PBE-GGA
Structure: relaxed

Properties
calculated density = 5850 kg/m³
space-group type = P2_1/m
N(E_F) = 2.04 states/eV per cell

Cell lengths 4.2071, 5.6188, 6.6675 Å; angles 90.00, 105.57, 90.00 degrees
Fractional positions:
1 Al 0.2180 0.2500 0.0890
2 Al 0.7820 0.7500 0.9110
3 Sn 0.1388 0.7500 0.5908
4 Sn 0.8612 0.2500 0.4092
5 Sb 0.4008 0.7500 0.2032
6 Sb 0.5992 0.2500 0.7968

S:
Compound: AlSnSb
Source: the Alexandria database
Functional: PBE-GGA
Structure: relaxed

Properties
calculated density = 5851 kg/m³
space-group type = P1
N(E_F) = 1.14 states/eV per cell

Cell lengths 3.2086, 4.2261, 6.1250 Å; angles 103.49, 93.01, 108.40 degrees
Fractional positions:
1 Al 0.0000 0.0000 0.0000
2 Sn 0.4080 0.6898 0.3029
3 Sb 0.6216 0.3149 0.7112

Which of them is the least stable? Correct choice: Q.

P:
Compound: AlSnSb
Source: the Alexandria database
Functional: PBE-GGA
Structure: relaxed

Properties
calculated density = 5335 kg/m³
space-group type = C2
N(E_F) = 0.46 states/eV per cell

Cell lengths 6.5163, 6.5163, 4.4608 Å; angles 109.99, 109.99, 88.22 degrees
Fractional positions:
1 Al 0.2490 0.2490 0.0649
2 Al 0.7510 0.7510 0.9351
3 Sn 0.1297 0.8703 0.5000
4 Sn 0.6276 0.3724 0.0000
5 Sb 0.0604 0.4376 0.5417
6 Sb 0.5624 0.9396 0.4583

Q:
Compound: AlSnSb
Source: the Alexandria database
Functional: PBE-GGA
Structure: relaxed

Properties
calculated density = 5825 kg/m³
space-group type = P1
N(E_F) = 2.47 states/eV per cell

Cell lengths 4.1334, 6.1044, 6.6239 Å; angles 98.33, 106.24, 102.96 degrees
Fractional positions:
1 Al 0.0000 0.0000 0.0000
2 Al 0.4582 0.6268 0.7364
3 Sn 0.0881 0.5254 0.0515
4 Sn 0.6885 0.0652 0.3397
5 Sb 0.3991 0.1336 0.7317
6 Sb 0.8123 0.5828 0.4336

R:
Compound: AlSnSb
Source: the Alexandria database
Functional: PBE-GGA
Structure: relaxed

Properties
calculated density = 5348 kg/m³
space-group type = P-1
N(E_F) = 1.39 states/eV per cell

Cell lengths 4.3312, 6.5836, 6.6419 Å; angles 65.88, 79.92, 74.50 degrees
Fractional positions:
1 Al 0.1780 0.0856 0.1284
2 Al 0.8220 0.9144 0.8716
3 Sn 0.3074 0.5655 0.8084
4 Sn 0.6926 0.4345 0.1916
5 Sb 0.2809 0.1832 0.6656
6 Sb 0.7191 0.8168 0.3344

S:
Compound: AlSnSb
Source: the Alexandria database
Functional: PBE-GGA
Structure: relaxed

Properties
calculated density = 4281 kg/m³
space-group type = Cm
N(E_F) = 0.07 states/eV per cell

Cell lengths 6.6921, 6.6921, 7.5739 Å; angles 103.98, 103.98, 39.26 degrees
Fractional positions:
1 Al 0.0000 0.0000 0.0000
2 Al 0.5331 0.5331 0.4979
3 Sn 0.2134 0.2134 0.1992
4 Sn 0.7346 0.7346 0.4375
5 Sb 0.4265 0.4265 0.1323
6 Sb 0.9623 0.9623 0.6349

Which of them is the least stable? Correct choice: Q.